Compound: AcCuPd3
Source: Alexandria
Functional: PBE-GGA
Structure: optimized geometry

Results
- energy of formation (eV per formula unit) = -2.67
- space group = No. 74
- calculated total energy (eV/atom) = -5.2916

Lattice parameters (Å, degrees): 5.4566 8.6374 6.7319 129.91 113.91 90.00
Last column: nearest neighbours and their distance in Å.
Atoms (fractional coordinates):
1 Ac 0.2500 0.2808 0.5000  7 Pd 3.14-3.19, 4 Cu 3.51
2 Ac 0.7500 0.7192 0.5000  7 Pd 3.14-3.19, 4 Cu 3.51
3 Cu 0.0000 0.5000 0.0000  6 Pd 2.56-2.60
4 Cu 0.5000 0.0000 0.0000  6 Pd 2.56-2.60
5 Pd 0.7600 0.2600 0.0199  2 Cu 2.56, 4 Pd 2.73-2.76
6 Pd 0.2600 0.2600 0.0199  2 Cu 2.56, 4 Pd 2.73-2.76
7 Pd 0.7400 0.7400 0.9801  2 Cu 2.56, 4 Pd 2.73-2.76
8 Pd 0.2400 0.7400 0.9801  2 Cu 2.56, 4 Pd 2.73-2.76
9 Pd 0.2500 0.9116 0.5000  2 Cu 2.60, 4 Pd 2.76
10 Pd 0.7500 0.0884 0.5000  2 Cu 2.60, 4 Pd 2.76